# Y2AgHAu

A relaxed Y2AgHAu crystal (PBE, the Alexandria database).

Structure (POSCAR):
```
Y2AgHAu
1.0
-0.6863 4.0090 -2.7931
-4.8855 -0.6054 0.3315
-0.0588 2.2534 3.2487
Y Au H Ag
2 1 1 1
Direct
0.0000 0.5000 0.0000
0.5000 0.0000 0.0000
0.5000 0.5000 0.5000
0.0000 0.0000 0.0000
0.0000 0.0000 0.5000
```

Values from the calculation:
space group	P4/mmm, No. 123
energy	-4.979	eV/atom